1.
Material: NaNdHg4
Method: DFT, PBE-GGA
State: relaxed

Summary:
* total moment: 0.0 μB per formula unit
* formation enthalpy at 0 K: -181 kJ/mol of formula units
* polymorph energy (0 for the lowest one): 0 meV per atom

abc: 10.5577 4.0123 7.8188
angles: 90.00 111.70 90.00
Last column: nearest neighbours and their distance in Å.
Space group C2/m (No. 12)
Inequivalent atoms, fractional coordinates:
1 Na 0.0000 0.0000 0.0000 (multiplicity 2)  10 Hg 3.21-3.24
2 Nd 0.0000 0.0000 0.5000 (multiplicity 2)  10 Hg 3.26-3.28
3 Hg 0.1652 0.5000 0.3266 (multiplicity 4)  2 Na 3.21, 5 Hg 3.22-3.32, 3 Nd 3.26-3.28
4 Hg 0.1707 0.5000 0.8397 (multiplicity 4)  5 Hg 3.16-3.30, 3 Na 3.23-3.24, 2 Nd 3.28

2.
Material: NdSmTm
Method: DFT, PBE-GGA
State: relaxed

Summary:
* total moment: 0.0 μB per formula unit
* formation enthalpy at 0 K: 6 kJ/mol of formula units
* polymorph energy (0 for the lowest one): 0 meV per atom

abc: 11.4190 5.0646 7.2098
angles: 90.00 108.52 90.00
Last column: nearest neighbours and their distance in Å.
Space group C2/m (No. 12)
Inequivalent atoms, fractional coordinates:
1 Nd 0.0011 0.0000 0.2523 (multiplicity 4)  5 Tm 3.58-3.60, 2 Nd 3.58-3.63, 5 Sm 3.60-3.62
2 Sm 0.1683 0.5000 0.0847 (multiplicity 4)  3 Sm 3.58-3.64, 4 Tm 3.58-3.62, 5 Nd 3.60-3.62
3 Tm 0.1670 0.5000 0.5824 (multiplicity 4)  5 Nd 3.58-3.60, 3 Tm 3.58-3.62, 4 Sm 3.58-3.62

3.
Material: Th2Si3PdRh4
Method: DFT, PBE-GGA
State: relaxed

Summary:
* uncorrected formation energy: -933 kJ/mol of formula units
* total moment: 0.0 μB per formula unit

abc: 4.0444 4.0444 10.9077
angles: 90.00 90.00 90.00
Last column: nearest neighbours and their distance in Å.
Space group P-4m2 (No. 115)
Inequivalent atoms, fractional coordinates:
1 Th 0.0000 0.5000 0.2423 (multiplicity 2)  4 Rh 2.98, 6 Si 3.24-3.33, 2 Pd 3.33
2 Si 0.0000 0.0000 0.0000 (multiplicity 1)  4 Rh 2.70, 4 Pd 2.86
3 Si 0.0000 0.5000 0.6180 (multiplicity 2)  5 Rh 2.37-2.40
4 Pd 0.5000 0.5000 0.0000 (multiplicity 1)  4 Rh 2.70, 4 Si 2.86
5 Rh 0.0000 0.0000 0.5000 (multiplicity 1)  4 Si 2.40
6 Rh 0.0000 0.5000 0.8353 (multiplicity 2)  1 Si 2.37
7 Rh 0.5000 0.5000 0.5000 (multiplicity 1)  4 Si 2.40

4.
Material: Li2PtAu
Method: DFT, PBE-GGA
State: relaxed

Summary:
* total moment: 0.0 μB per formula unit
* formation enthalpy at 0 K: -181 kJ/mol of formula units

abc: 2.7068 4.3192 5.2086
angles: 90.00 105.03 90.00
Last column: nearest neighbours and their distance in Å.
Space group Pm (No. 6)
Inequivalent atoms, fractional coordinates:
1 Li 0.0000 0.0000 0.0000 (multiplicity 1)  4 Li 2.58-2.71, 3 Pt 2.66-2.74, 4 Au 2.74-2.76
2 Li 0.1282 0.5000 0.2807 (multiplicity 1)  4 Li 2.58-2.71, 3 Au 2.58-2.81, 4 Pt 2.72-2.73
3 Pt 0.7278 0.0000 0.4707 (multiplicity 1)  7 Li 2.66-2.74, 2 Pt 2.71
4 Au 0.3911 0.5000 0.7937 (multiplicity 1)  7 Li 2.58-2.81, 2 Au 2.71

5.
Material: Ce2AlGaNi6
Method: DFT, PBE-GGA
State: relaxed

Summary:
* total moment: 0.9 μB per formula unit
* formation enthalpy at 0 K: 14 kJ/mol of formula units

abc: 6.2661 6.2661 15.3308
angles: 90.00 90.00 120.00
Last column: nearest neighbours and their distance in Å.
Space group R-3m (No. 166, hexagonal axes)
Inequivalent atoms, fractional coordinates:
1 Ce 0.0000 0.0000 0.2500 (multiplicity 6)  12 Ni 3.13
2 Al 0.0000 0.0000 0.0000 (multiplicity 3)  6 Ni 2.20
3 Ga 0.0000 0.0000 0.5000 (multiplicity 3)  6 Ni 2.23
4 Ni 0.0017 0.5008 0.7496 (multiplicity 18)  1 Al 2.20, 1 Ga 2.23

6.
Material: Er4Sb2C
Method: DFT, PBE-GGA
State: relaxed

Summary:
* uncorrected formation energy: -523 kJ/mol of formula units
* total moment: 0.0 μB per formula unit
* polymorph energy (0 for the lowest one): 0 meV per atom

abc: 4.7402 4.7402 15.5972
angles: 90.00 90.00 90.00
Last column: nearest neighbours and their distance in Å.
Space group I4/mmm (No. 139)
Inequivalent atoms, fractional coordinates:
1 Er 0.0000 0.0000 0.1567 (multiplicity 4)  1 C 2.44
2 Er 0.0000 0.5000 0.0000 (multiplicity 4)  2 C 2.37
3 Sb 0.0000 0.0000 0.3574 (multiplicity 4)  9 Er 3.13-3.36
4 C 0.0000 0.0000 0.0000 (multiplicity 2)  6 Er 2.37-2.44

7.
Material: NaLaH8Pd2
Method: DFT, PBE-GGA
State: relaxed

Summary:
* electronic total energy: -3.740 eV per atom
* total moment: 0.0 μB per formula unit

abc: 4.9861 4.9861 17.1763
angles: 90.00 90.00 120.00
Last column: nearest neighbours and their distance in Å.
Space group R-3 (No. 148, hexagonal axes)
Inequivalent atoms, fractional coordinates:
1 Na 0.0000 0.0000 0.0000 (multiplicity 3)  6 H 2.17
2 La 0.0000 0.0000 0.5000 (multiplicity 3)  6 H 2.39
3 H 0.0000 0.0000 0.1971 (multiplicity 6)  1 Pd 1.85
4 H 0.0335 0.7593 0.3830 (multiplicity 18)  2 Pd 1.81-1.86
5 Pd 0.0000 0.0000 0.3049 (multiplicity 6)  7 H 1.81-1.86

8.
Material: Ca5P3HO13
Method: DFT, PBE-GGA
State: relaxed

Summary:
* electronic total energy: -7.087 eV per atom
* total moment: 0.0 μB per formula unit

abc: 9.5619 9.5619 6.9050
angles: 90.00 90.00 120.00
Last column: nearest neighbours and their distance in Å.
Space group P6_3 (No. 173)
Inequivalent atoms, fractional coordinates:
1 Ca 0.9998 0.2503 0.0000 (multiplicity 6)  6 O 2.35-2.52
2 Ca 0.3333 0.6667 0.2483 (multiplicity 2)  6 O 2.41-2.45
3 Ca 0.3333 0.6667 0.7513 (multiplicity 2)  6 O 2.44-2.48
4 P 0.0301 0.3995 0.5012 (multiplicity 6)  4 O 1.55-1.56
5 H 0.0000 0.0000 0.1767 (multiplicity 2)  1 O 0.98
6 O 0.0000 0.0000 0.0351 (multiplicity 2)  1 H 0.98
7 O 0.0824 0.3387 0.3216 (multiplicity 6)  1 P 1.55
8 O 0.0872 0.3474 0.6840 (multiplicity 6)  1 P 1.55
9 O 0.1245 0.5883 0.4968 (multiplicity 6)  1 P 1.56
10 O 0.1547 0.6677 0.0024 (multiplicity 6)  1 P 1.55

9.
Material: ScPtO3
Method: DFT, PBE-GGA
State: relaxed

Summary:
* uncorrected formation energy: -432 kJ/mol of formula units
* total moment: 0.0 μB per formula unit

abc: 3.9593 3.9593 3.9593
angles: 90.00 90.00 90.00
Last column: nearest neighbours and their distance in Å.
Space group Pm-3m (No. 221)
Inequivalent atoms, fractional coordinates:
1 Sc 0.0000 0.0000 0.0000 (multiplicity 1)  12 O 2.80
2 Pt 0.5000 0.5000 0.5000 (multiplicity 1)  6 O 1.98
3 O 0.0000 0.5000 0.5000 (multiplicity 3)  2 Pt 1.98

10.
Material: RbTbCdI6
Method: DFT, PBE-GGA
State: relaxed

Summary:
* uncorrected formation energy: -990 kJ/mol of formula units
* total moment: 0.0 μB per formula unit

abc: 7.8725 7.8725 16.3843
angles: 90.00 90.00 120.00
Last column: nearest neighbours and their distance in Å.
Space group P-31c (No. 163)
Inequivalent atoms, fractional coordinates:
1 Rb 0.0000 0.0000 0.0000 (multiplicity 2)  6 I 3.74
2 Tb 0.3333 0.6667 0.2500 (multiplicity 2)  6 I 3.06
3 Cd 0.3333 0.6667 0.7500 (multiplicity 2)  6 I 3.04
4 I 0.0016 0.3736 0.6419 (multiplicity 12)  1 Cd 3.04, 1 Tb 3.06

Q: Which of these has the highest total moment?
A: Ce2AlGaNi6

Q: Among the records above, which one has the highest total moment?
A: Ce2AlGaNi6

Q: total moment of number 1 (NaNdHg4)?
A: 0.0 μB per formula unit

Q: The highest total moment belongs to which entry?
A: Ce2AlGaNi6